[1]
# PBE Rb2SI, relaxed
# Fermi-level density of states   2.693 states/eV per atom
# M_tot   1.00 μB/f.u.
# Uncorrected energy   -2.75 eV per atom
data_Rb2SI
_chemical_formula_sum 'Rb8 S4 I4'
_symmetry_space_group_name_H-M 'F m -3 m'
_symmetry_Int_Tables_number 225
_symmetry_space_group_name_Hall '-F 4 2 3'
_cell_length_a 8.566
_cell_length_b 8.566
_cell_length_c 8.566
_cell_angle_alpha 90.00
_cell_angle_beta 90.00
_cell_angle_gamma 90.00
loop_
_atom_site_label
_atom_site_fract_x
_atom_site_fract_y
_atom_site_fract_z
_atom_site_occupancy
Rb1 0.250 0.250 0.250 1
S1 0.000 0.000 0.000 1
I1 0.000 0.000 0.500 1

[2]
# PBE RbSI2, relaxed
# Fermi-level density of states   0.221 states/eV per atom
# M_tot   3.00 μB/f.u.
# Uncorrected energy   -2.10 eV per atom
data_RbSI2
_chemical_formula_sum 'Rb4 S4 I8'
_symmetry_space_group_name_H-M 'F m -3 m'
_symmetry_Int_Tables_number 225
_symmetry_space_group_name_Hall '-F 4 2 3'
_cell_length_a 8.491
_cell_length_b 8.491
_cell_length_c 8.491
_cell_angle_alpha 90.00
_cell_angle_beta 90.00
_cell_angle_gamma 90.00
loop_
_atom_site_label
_atom_site_fract_x
_atom_site_fract_y
_atom_site_fract_z
_atom_site_occupancy
Rb1 0.000 0.000 0.000 1
S1 0.000 0.000 0.500 1
I1 0.250 0.250 0.250 1

[3]
# PBE RbS4I, relaxed
# M_tot   0.00 μB/f.u.
# Uncorrected energy   -3.50 eV per atom
data_RbS4I
_chemical_formula_sum 'Rb1 S4 I1'
_symmetry_space_group_name_H-M 'P -1'
_symmetry_Int_Tables_number 2
_symmetry_space_group_name_Hall '-P 1'
_cell_length_a 5.849
_cell_length_b 6.840
_cell_length_c 7.010
_cell_angle_alpha 67.15
_cell_angle_beta 69.83
_cell_angle_gamma 70.52
loop_
_atom_site_label
_atom_site_fract_x
_atom_site_fract_y
_atom_site_fract_z
_atom_site_occupancy
Rb1 0.000 0.000 0.000 1
S1 0.396 0.305 0.990 1
S2 0.445 0.319 0.245 1
I1 0.000 0.500 0.500 1

[4]
# PBE Rb3SI6, relaxed
# Fermi-level density of states   0.604 states/eV per atom
# M_tot   0.98 μB/f.u.
# Uncorrected energy   -2.27 eV per atom
data_Rb3SI6
_chemical_formula_sum 'Rb6 S2 I12'
_symmetry_space_group_name_H-M 'I 4/m m m'
_symmetry_Int_Tables_number 139
_symmetry_space_group_name_Hall '-I 4 2'
_cell_length_a 9.010
_cell_length_b 9.010
_cell_length_c 12.291
_cell_angle_alpha 90.00
_cell_angle_beta 90.00
_cell_angle_gamma 90.00
loop_
_atom_site_label
_atom_site_fract_x
_atom_site_fract_y
_atom_site_fract_z
_atom_site_occupancy
Rb1 0.000 0.000 0.000 1
Rb2 0.000 0.500 0.250 1
S1 0.000 0.000 0.500 1
I1 0.000 0.000 0.281 1
I2 0.230 0.230 0.500 1

[5]
# PBE RbS5I, relaxed
# Fermi-level density of states   0.000 states/eV per atom
# M_tot   0.00 μB/f.u.
# Uncorrected energy   -3.61 eV per atom
data_RbS5I
_chemical_formula_sum 'Rb4 S20 I4'
_symmetry_space_group_name_H-M 'C 1 2/c 1'
_symmetry_Int_Tables_number 15
_symmetry_space_group_name_Hall '-C 2yc'
_cell_length_a 7.557
_cell_length_b 12.013
_cell_length_c 13.270
_cell_angle_alpha 90.00
_cell_angle_beta 99.05
_cell_angle_gamma 90.00
loop_
_atom_site_label
_atom_site_fract_x
_atom_site_fract_y
_atom_site_fract_z
_atom_site_occupancy
Rb1 0.000 0.160 0.250 1
S1 0.000 0.480 0.750 1
S2 0.192 0.154 0.619 1
S3 0.224 0.419 0.245 1
I1 0.000 0.000 0.000 1

[6]
# PBE RbS14I, relaxed
# Fermi-level density of states   0.476 states/eV per atom
# M_tot   0.35 μB/f.u.
# Uncorrected energy   -3.54 eV per atom
data_RbS14I
_chemical_formula_sum 'Rb4 S56 I4'
_symmetry_space_group_name_H-M 'I m m a'
_symmetry_Int_Tables_number 74
_symmetry_space_group_name_Hall '-I 2b 2'
_cell_length_a 7.615
_cell_length_b 20.274
_cell_length_c 12.982
_cell_angle_alpha 90.00
_cell_angle_beta 90.00
_cell_angle_gamma 90.00
loop_
_atom_site_label
_atom_site_fract_x
_atom_site_fract_y
_atom_site_fract_z
_atom_site_occupancy
Rb1 0.250 0.250 0.250 1
S1 0.000 0.139 0.089 1
S2 0.000 0.162 0.428 1
S3 0.000 0.203 0.898 1
S4 0.169 0.071 0.807 1
S5 0.220 0.103 0.419 1
I1 0.000 0.250 0.625 1

[7]
# PBE Rb2SI, relaxed
# Fermi-level density of states   0.786 states/eV per atom
# M_tot   1.01 μB/f.u.
# Uncorrected energy   -2.80 eV per atom
data_Rb2SI
_chemical_formula_sum 'Rb2 S1 I1'
_symmetry_space_group_name_H-M 'P 4/m m m'
_symmetry_Int_Tables_number 123
_symmetry_space_group_name_Hall '-P 4 2'
_cell_length_a 4.288
_cell_length_b 4.288
_cell_length_c 8.425
_cell_angle_alpha 90.00
_cell_angle_beta 90.00
_cell_angle_gamma 90.00
loop_
_atom_site_label
_atom_site_fract_x
_atom_site_fract_y
_atom_site_fract_z
_atom_site_occupancy
Rb1 0.000 0.000 0.231 1
S1 0.500 0.500 0.000 1
I1 0.500 0.500 0.500 1

[8]
# PBE RbSI3, relaxed
# Fermi-level density of states   1.772 states/eV per atom
# M_tot   4.00 μB/f.u.
# Uncorrected energy   -1.51 eV per atom
data_RbSI3
_chemical_formula_sum 'Rb1 S1 I3'
_symmetry_space_group_name_H-M 'P m -3 m'
_symmetry_Int_Tables_number 221
_symmetry_space_group_name_Hall '-P 4 2 3'
_cell_length_a 7.024
_cell_length_b 7.024
_cell_length_c 7.024
_cell_angle_alpha 90.00
_cell_angle_beta 90.00
_cell_angle_gamma 90.00
loop_
_atom_site_label
_atom_site_fract_x
_atom_site_fract_y
_atom_site_fract_z
_atom_site_occupancy
Rb1 0.000 0.000 0.000 1
S1 0.500 0.500 0.500 1
I1 0.000 0.000 0.500 1

- What is the uncorrected energy in the seventh record?
  -2.80 eV per atom